VASP calculation (PBE-GGA) on an optimized crystal structure of BiPd4Pt2.

The crystal system is monoclinic. For the formation energy, the calculation gives -45 meV per atom. As for the energy above the lowest structure with this stoichiometry: 0.67 eV/f.u. For the total magnetic moment, the calculation gives 0.0 μB per formula unit. The density of states at the Fermi level is 14.5 states/eV/cell.

The space group is P2_1/m (No. 11) and the conventional cell measures 6.889, 5.556 and 7.148 Å, with angles of 90.00, 117.47 and 90.00 degrees. The asymmetric unit holds Bi at (0.074, 0.250, 0.323), Pd at (0.233, 0.750, 0.080), Pd at (0.356, 0.502, 0.771), Pd at (0.491, 0.750, 0.506), Pt at (0.050, 0.750, 0.363) and Pt at (0.248, 0.250, 0.049).

=====

VASP calculation (PBE-GGA) on an optimized crystal structure of DyY2Th.

The crystal system is tetragonal. For the formation energy, the calculation gives 32 meV per atom. As for the energy above the lowest structure with this stoichiometry: 0.03 eV/f.u. For the total magnetic moment, the calculation gives 0.0 μB per formula unit. The density of states at the Fermi level is 5.4 states/eV/cell.

The space group is P4/mmm (No. 123) and the conventional cell measures 3.562, 3.562 and 10.162 Å, with angles of 90.00, 90.00 and 90.00 degrees. The asymmetric unit holds Dy at (0.000, 0.000, 0.000), Y at (0.500, 0.500, 0.254) and Th at (0.000, 0.000, 0.500).

=====

VASP calculation (PBE-GGA) on an optimized crystal structure of Hf12Ta3Nb5.

The crystal system is cubic. For the formation energy, the calculation gives 1405 meV per atom. For the total magnetic moment, the calculation gives 2.6 μB per formula unit. The density of states at the Fermi level is 240.9 states/eV/cell.

The space group is Ia-3d (No. 230) and the conventional cell measures 15.986, 15.986 and 15.986 Å, with angles of 90.00, 90.00 and 90.00 degrees. The asymmetric unit holds Hf at (0.019, 0.082, 0.647), Ta at (0.000, 0.250, 0.125), Nb at (0.000, 0.000, 0.000) and Nb at (0.000, 0.250, 0.375).

=====

VASP calculation (PBE-GGA) on an optimized crystal structure of Cu4PdPb.

The crystal system is cubic. For the formation energy, the calculation gives 45 meV per atom. For the total magnetic moment, the calculation gives 0.0 μB per formula unit. The density of states at the Fermi level is 19.4 states/eV/cell.

The space group is F-43m (No. 216) and the conventional cell measures 7.104, 7.104 and 7.104 Å, with angles of 90.00, 90.00 and 90.00 degrees. The asymmetric unit holds Cu at (0.124, 0.124, 0.124), Pd at (0.250, 0.250, 0.750) and Pb at (0.000, 0.000, 0.500).

=====

VASP calculation (PBE-GGA) on an optimized crystal structure of Pr2HoCrN4.

The crystal system is orthorhombic. The formation energy without anion corrections comes out at -0.9519 eV per atom. For the total magnetic moment, the calculation gives 2.1 μB per formula unit. The density of states at the Fermi level is 11.6 states/eV/cell.

The space group is Cmcm (No. 63) and the conventional cell measures 3.439, 11.802 and 12.342 Å, with angles of 90.00, 90.00 and 90.00 degrees. The asymmetric unit holds Pr at (0.000, 0.133, 0.041), Ho at (0.000, 0.378, 0.250), Cr at (0.000, 0.339, 0.750), N at (0.000, 0.084, 0.250), N at (0.000, 0.224, 0.643) and N at (0.000, 0.500, 0.000).

=====

VASP calculation (PBE-GGA) on an optimized crystal structure of CsTe2AsN.

The crystal system is tetragonal. The formation energy without anion corrections comes out at 0.3878 eV per atom. As for the energy above the lowest structure with this stoichiometry: 0.00 eV/f.u. For the total magnetic moment, the calculation gives 0.0 μB per formula unit. The density of states at the Fermi level is 5.5 states/eV/cell.

The space group is P4/mmm (No. 123) and the conventional cell measures 6.582, 6.582 and 3.582 Å, with angles of 90.00, 90.00 and 90.00 degrees. The asymmetric unit holds Cs at (0.000, 0.000, 0.000), Te at (0.000, 0.500, 0.500), As at (0.500, 0.500, 0.500) and N at (0.500, 0.500, 0.000).

=====

VASP calculation (PBE-GGA) on an optimized crystal structure of NpSbBr6.

The crystal system is monoclinic. The formation energy without anion corrections comes out at -0.9259 eV per atom. For the total magnetic moment, the calculation gives 4.0 μB per formula unit. The density of states at the Fermi level is 9.0 states/eV/cell.

The space group is C2/m (No. 12) and the conventional cell measures 7.118, 13.087 and 7.118 Å, with angles of 90.00, 106.82 and 90.00 degrees. The asymmetric unit holds Np at (0.000, 0.000, 0.000), Sb at (0.000, 0.500, 0.500), Br at (0.242, 0.353, 0.747) and Br at (0.245, 0.000, 0.747).

=====

VASP calculation (PBE-GGA) on an optimized crystal structure of Sc2AlBi2.

The crystal system is tetragonal. For the formation energy, the calculation gives -247 meV per atom. As for the energy above the lowest structure with this stoichiometry: 0.28 eV/f.u. For the total magnetic moment, the calculation gives 0.4 μB per formula unit. The density of states at the Fermi level is 6.7 states/eV/cell.

The space group is P4/mbm (No. 127) and the conventional cell measures 8.060, 8.060 and 3.955 Å, with angles of 90.00, 90.00 and 90.00 degrees. The asymmetric unit holds Sc at (0.148, 0.352, 0.000), Al at (0.000, 0.000, 0.500) and Bi at (0.154, 0.654, 0.500).